# Pm2TlFeO6

Pm2TlFeO6 after structural relaxation (PBE+U, Alexandria).

Summary:
- Space-group type: P2_1/c
- Calculated total energy: -6.96 eV/atom

a = 5.5897 Å, b = 5.9304 Å, c = 9.8987 Å
α = 90.00°, β = 124.32°, γ = 90.00°
Atoms (fractional coordinates):
Pm: 0.2306 0.0656 0.2520
Pm: 0.2306 0.4344 0.7520
Pm: 0.7694 0.5656 0.2480
Pm: 0.7694 0.9344 0.7480
Tl: 0.5000 0.0000 0.0000
Tl: 0.5000 0.5000 0.5000
Fe: 0.0000 0.0000 0.5000
Fe: 0.0000 0.5000 0.0000
O: 0.1038 0.2091 0.9272
O: 0.1038 0.2909 0.4272
O: 0.2323 0.6799 0.9389
O: 0.2323 0.8201 0.4389
O: 0.3623 0.0561 0.7334
O: 0.3623 0.4439 0.2334
O: 0.6377 0.5561 0.7666
O: 0.6377 0.9439 0.2666
O: 0.7677 0.1799 0.5611
O: 0.7677 0.3201 0.0611
O: 0.8962 0.7091 0.5728
O: 0.8962 0.7909 0.0728